{"formula": "Sr3HoEr3S8", "functional": "PBE-GGA", "state": "relaxed", "lattice_angstrom": [[7.943, 0.002, 0.000], [-3.970, 6.875, -0.024], [-0.001, -4.559, 6.855]], "species": ["Sr", "Sr", "Sr", "Er", "Er", "Er", "S", "S", "S", "S", "S", "S", "S", "S", "Ho"], "frac_coords": [[0.000, 0.000, 0.000], [0.000, 0.500, 0.000], [0.500, 0.500, 0.000], [0.000, 0.500, 0.500], [0.500, 0.000, 0.500], [0.500, 0.500, 0.500], [0.759, 0.019, 0.278], [0.742, 0.484, 0.726], [0.759, 0.518, 0.278], [0.258, 0.516, 0.274], [0.260, 0.019, 0.278], [0.241, 0.482, 0.722], [0.740, 0.981, 0.722], [0.241, 0.981, 0.722], [0.000, 0.000, 0.500]], "dos_ef_per_ev_atom": 0.213, "e_form_raw_kj_per_mol_atoms": -200.8, "density_g_cm3": 5.27}

***

{"formula": "Sr3Ho3ErS8", "functional": "PBE-GGA", "state": "relaxed", "lattice_angstrom": [[-4.004, 1.117, -6.791], [3.446, -7.024, 1.481], [-6.704, 2.132, 4.303]], "species": ["S", "S", "S", "S", "S", "S", "S", "S", "Ho", "Ho", "Ho", "Er", "Sr", "Sr", "Sr"], "frac_coords": [[0.760, 0.521, 0.278], [0.240, 0.982, 0.722], [0.760, 0.018, 0.278], [0.240, 0.479, 0.722], [0.258, 0.515, 0.273], [0.258, 0.018, 0.278], [0.742, 0.982, 0.722], [0.742, 0.485, 0.727], [0.000, 0.500, 0.500], [0.500, 0.500, 0.500], [0.500, 0.000, 0.500], [0.000, 0.000, 0.500], [0.000, 0.500, 0.000], [0.000, 0.000, 0.000], [0.500, 0.500, 0.000]], "dos_ef_per_ev_atom": 0.298, "e_form_raw_kj_per_mol_atoms": -201.1, "density_g_cm3": 5.22}

***

{"formula": "SrHo4ErS8", "functional": "PBE-GGA", "state": "relaxed", "lattice_angstrom": [[-4.559, -5.372, -4.044], [-3.871, -5.894, 4.034], [-8.083, 0.190, 0.701]], "species": ["S", "S", "S", "S", "S", "S", "S", "S", "Ho", "Ho", "Ho", "Ho", "Sr", "Er"], "frac_coords": [[0.793, 0.235, 0.737], [0.236, 0.236, 0.293], [0.235, 0.793, 0.737], [0.227, 0.758, 0.257], [0.758, 0.227, 0.257], [0.758, 0.758, 0.257], [0.235, 0.235, 0.737], [0.757, 0.757, 0.728], [0.002, 0.002, 0.502], [0.625, 0.625, 0.125], [0.494, 0.002, 0.502], [0.002, 0.494, 0.502], [0.375, 0.375, 0.874], [0.002, 0.002, 0.994]], "dos_ef_per_ev_atom": 0.234, "e_form_raw_kj_per_mol_atoms": -191.9, "density_g_cm3": 5.14}

***

{"formula": "SrHoEr4S8", "functional": "PBE-GGA", "state": "relaxed", "lattice_angstrom": [[-3.896, -0.610, 7.072], [0.791, -6.689, 4.494], [4.162, 0.261, 6.951]], "species": ["S", "S", "S", "S", "S", "S", "S", "S", "Er", "Er", "Er", "Er", "Ho", "Sr"], "frac_coords": [[0.757, 0.757, 0.258], [0.228, 0.757, 0.258], [0.236, 0.236, 0.734], [0.235, 0.235, 0.294], [0.236, 0.793, 0.734], [0.758, 0.758, 0.727], [0.793, 0.236, 0.734], [0.757, 0.228, 0.258], [0.002, 0.002, 0.502], [0.625, 0.625, 0.125], [0.494, 0.002, 0.502], [0.002, 0.494, 0.502], [0.002, 0.002, 0.994], [0.375, 0.375, 0.876]], "dos_ef_per_ev_atom": 0.260, "e_form_raw_kj_per_mol_atoms": -191.7, "density_g_cm3": 5.20}

***

{"formula": "Tb2HoEr3S6", "functional": "PBE-GGA", "state": "relaxed", "lattice_angstrom": [[-3.624, -1.303, 0.459], [2.614, -7.353, -0.236], [2.150, 2.614, 8.001]], "species": ["Er", "Er", "Er", "S", "S", "S", "S", "S", "S", "Ho", "Tb", "Tb"], "frac_coords": [[0.833, 0.167, 0.665], [0.167, 0.833, 0.335], [0.500, 0.500, 0.000], [0.002, 0.750, 0.003], [0.333, 0.921, 0.667], [0.667, 0.079, 0.333], [0.665, 0.587, 0.330], [0.998, 0.250, 0.997], [0.335, 0.413, 0.670], [0.500, 0.000, 0.000], [0.833, 0.666, 0.666], [0.167, 0.334, 0.334]], "dos_ef_per_ev_atom": 0.435, "e_form_raw_kj_per_mol_atoms": -190.8, "density_g_cm3": 7.84}

***

{"formula": "TbHo2ErS4", "functional": "PBE-GGA", "state": "relaxed", "lattice_angstrom": [[-1.972, -0.917, -3.186], [5.557, 0.945, -3.711], [3.396, -5.834, -0.423]], "species": ["S", "S", "S", "S", "Ho", "Ho", "Tb", "Er"], "frac_coords": [[0.500, 0.750, 0.253], [0.500, 0.250, 0.747], [0.000, 0.248, 0.253], [0.000, 0.752, 0.747], [0.000, 0.000, 0.000], [0.500, 0.000, 0.500], [0.500, 0.500, 0.000], [0.000, 0.500, 0.500]], "dos_ef_per_ev_atom": 0.605, "e_form_raw_kj_per_mol_atoms": -190.6, "density_g_cm3": 7.83}

***

Repeat the sixth record exactly.
{"formula": "TbHo2ErS4", "functional": "PBE-GGA", "state": "relaxed", "lattice_angstrom": [[-1.972, -0.917, -3.186], [5.557, 0.945, -3.711], [3.396, -5.834, -0.423]], "species": ["S", "S", "S", "S", "Ho", "Ho", "Tb", "Er"], "frac_coords": [[0.500, 0.750, 0.253], [0.500, 0.250, 0.747], [0.000, 0.248, 0.253], [0.000, 0.752, 0.747], [0.000, 0.000, 0.000], [0.500, 0.000, 0.500], [0.500, 0.500, 0.000], [0.000, 0.500, 0.500]], "dos_ef_per_ev_atom": 0.605, "e_form_raw_kj_per_mol_atoms": -190.6, "density_g_cm3": 7.83}